(A)
Entry from Alexandria via LeMat-Bulk: ScBiP3 after structural relaxation (GGA-PBE).

Unit cell a=4.9372 b=4.9372 c=4.9372 alpha=90.00 beta=90.00 gamma=90.00
Last column: nearest neighbours and their distance in Å.
Sites, in units of the cell vectors:
Sc: 0.0000 0.0000 0.0000  6 P 2.47
P: 0.0000 0.5000 0.0000  2 Sc 2.47
P: 0.0000 0.0000 0.5000  2 Sc 2.47
P: 0.5000 0.0000 0.0000  2 Sc 2.47
Bi: 0.5000 0.5000 0.5000  12 P 3.49

DOS at the Fermi energy (states/eV/cell): 3.663
Space group: Pm-3m

(B)
Entry from Alexandria via LeMat-Bulk: ScBiP3 after structural relaxation (GGA-PBE).

Unit cell a=5.1255 b=5.1255 c=5.1255 alpha=90.00 beta=90.00 gamma=90.00
Last column: nearest neighbours and their distance in Å.
Sites, in units of the cell vectors:
Sc: 0.5000 0.5000 0.5000  12 P 3.62
P: 0.0000 0.5000 0.0000  2 Bi 2.56
P: 0.0000 0.0000 0.5000  2 Bi 2.56
P: 0.5000 0.0000 0.0000  2 Bi 2.56
Bi: 0.0000 0.0000 0.0000  6 P 2.56

DOS at the Fermi energy (states/eV/cell): 3.946
Space group: Pm-3m

Which one sits at the top of the stability order? (A) does.